[1]
Material: NaVPb2N
Method: DFT, PBE
State: optimized geometry

Geometry as CIF:
```
data_NaVPb2N
_cell_length_a 5.368
_cell_length_b 4.002
_cell_length_c 5.368
_cell_angle_alpha 90.00
_cell_angle_beta 90.00
_cell_angle_gamma 90.00
_symmetry_space_group_name_H-M 'P 1'
_symmetry_Int_Tables_number 1
_symmetry_space_group_name_Hall 'P 1'
loop_
_atom_site_label
_atom_site_fract_x
_atom_site_fract_y
_atom_site_fract_z
Pb1 0.500 0.000 0.000
Pb2 0.000 0.000 0.500
Na1 0.000 0.000 0.000
V1 0.500 0.500 0.500
N1 0.000 0.500 0.000
```

Calculated values
Total magnetic moment, Bohr magnetons per cell: 0.23
Raw formation energy, eV/f.u.: 8.1
Uncorrected energy, eV for the cell shown: -18.04

[2]
Material: NaY2PbN
Method: DFT, PBE
State: optimized geometry

Geometry as CIF:
```
data_NaY2PbN
_cell_length_a 4.766
_cell_length_b 5.447
_cell_length_c 4.766
_cell_angle_alpha 90.00
_cell_angle_beta 90.00
_cell_angle_gamma 90.00
_symmetry_space_group_name_H-M 'P 1'
_symmetry_Int_Tables_number 1
_symmetry_space_group_name_Hall 'P 1'
loop_
_atom_site_label
_atom_site_fract_x
_atom_site_fract_y
_atom_site_fract_z
N1 0.000 0.000 0.000
Y1 0.000 0.000 0.500
Y2 0.500 0.000 0.000
Pb1 0.000 0.500 0.000
Na1 0.500 0.500 0.500
```

Calculated values
ΔE to the lowest computed polymorph, meV/atom: 401
Total magnetic moment, Bohr magnetons per cell: 0.00
Raw formation energy, eV/f.u.: -1.9
Uncorrected energy, eV for the cell shown: -28.17

[3]
Material: NaY2PbN
Method: DFT, PBE
State: optimized geometry

Geometry as CIF:
```
data_NaY2PbN
_cell_length_a 4.813
_cell_length_b 4.813
_cell_length_c 4.760
_cell_angle_alpha 90.00
_cell_angle_beta 90.00
_cell_angle_gamma 90.00
_symmetry_space_group_name_H-M 'P 1'
_symmetry_Int_Tables_number 1
_symmetry_space_group_name_Hall 'P 1'
loop_
_atom_site_label
_atom_site_fract_x
_atom_site_fract_y
_atom_site_fract_z
Y1 0.000 0.500 0.000
Y2 0.500 0.000 0.000
Pb1 0.500 0.500 0.500
Na1 0.000 0.000 0.500
N1 0.000 0.000 0.000
```

Calculated values
ΔE to the lowest computed polymorph, meV/atom: 0
Total magnetic moment, Bohr magnetons per cell: 0.00
Raw formation energy, eV/f.u.: -3.9
Uncorrected energy, eV for the cell shown: -30.17

[4]
Material: Na2PdN2
Method: DFT, PBE
State: optimized geometry

Geometry as CIF:
```
data_Na2PdN2
_cell_length_a 6.796
_cell_length_b 6.797
_cell_length_c 5.045
_cell_angle_alpha 135.34
_cell_angle_beta 135.33
_cell_angle_gamma 42.19
_symmetry_space_group_name_H-M 'P 1'
_symmetry_Int_Tables_number 1
_symmetry_space_group_name_Hall 'P 1'
loop_
_atom_site_label
_atom_site_fract_x
_atom_site_fract_y
_atom_site_fract_z
Pd1 0.000 0.000 0.000
Na1 0.330 0.330 0.879
Na2 0.670 0.670 0.121
N1 0.999 0.998 0.377
N2 0.001 0.002 0.623
```

Calculated values
Total magnetic moment, Bohr magnetons per cell: 0.00
Raw formation energy, eV/f.u.: 0.2
Uncorrected energy, eV for the cell shown: -24.27

[5]
Material: NaPd2N
Method: DFT, PBE
State: optimized geometry

Geometry as CIF:
```
data_NaPd2N
_cell_length_a 5.354
_cell_length_b 5.354
_cell_length_c 6.916
_cell_angle_alpha 67.23
_cell_angle_beta 67.23
_cell_angle_gamma 90.00
_symmetry_space_group_name_H-M 'P 1'
_symmetry_Int_Tables_number 1
_symmetry_space_group_name_Hall 'P 1'
loop_
_atom_site_label
_atom_site_fract_x
_atom_site_fract_y
_atom_site_fract_z
N1 0.250 0.750 0.500
N2 0.500 0.500 0.000
Pd1 0.875 0.625 0.750
Pd2 0.375 0.125 0.250
Pd3 0.375 0.625 0.250
Pd4 0.375 0.625 0.750
Na1 0.750 0.250 0.500
Na2 0.000 0.000 0.000
```

Calculated values
Total magnetic moment, Bohr magnetons per cell: 0.00
Raw formation energy, eV/f.u.: 0.8
Uncorrected energy, eV for the cell shown: -38.56

[6]
Material: NaPd3N
Method: DFT, PBE
State: optimized geometry

Geometry as CIF:
```
data_NaPd3N
_cell_length_a 4.206
_cell_length_b 4.206
_cell_length_c 4.206
_cell_angle_alpha 90.00
_cell_angle_beta 90.00
_cell_angle_gamma 90.00
_symmetry_space_group_name_H-M 'P 1'
_symmetry_Int_Tables_number 1
_symmetry_space_group_name_Hall 'P 1'
loop_
_atom_site_label
_atom_site_fract_x
_atom_site_fract_y
_atom_site_fract_z
Na1 0.500 0.500 0.500
N1 0.000 0.000 0.000
Pd1 0.500 0.000 0.000
Pd2 0.000 0.000 0.500
Pd3 0.000 0.500 0.000
```

Calculated values
ΔE to the lowest computed polymorph, meV/atom: 0
Total magnetic moment, Bohr magnetons per cell: 0.00
Raw formation energy, eV/f.u.: 0.4
Uncorrected energy, eV for the cell shown: -24.83

[7]
Material: NaPd3N
Method: DFT, PBE
State: optimized geometry

Geometry as CIF:
```
data_NaPd3N
_cell_length_a 4.773
_cell_length_b 4.773
_cell_length_c 4.773
_cell_angle_alpha 90.00
_cell_angle_beta 90.00
_cell_angle_gamma 90.00
_symmetry_space_group_name_H-M 'P 1'
_symmetry_Int_Tables_number 1
_symmetry_space_group_name_Hall 'P 1'
loop_
_atom_site_label
_atom_site_fract_x
_atom_site_fract_y
_atom_site_fract_z
Pd1 0.000 0.500 0.000
Pd2 0.500 0.000 0.000
Pd3 0.000 0.000 0.500
N1 0.500 0.500 0.500
Na1 0.000 0.000 0.000
```

Calculated values
ΔE to the lowest computed polymorph, meV/atom: 2056
Total magnetic moment, Bohr magnetons per cell: 2.54
Raw formation energy, eV/f.u.: 10.7
Uncorrected energy, eV for the cell shown: -14.55

[8]
Material: Na2Pd6N
Method: DFT, PBE
State: optimized geometry

Geometry as CIF:
```
data_Na2Pd6N
_cell_length_a 5.913
_cell_length_b 9.090
_cell_length_c 7.170
_cell_angle_alpha 90.00
_cell_angle_beta 90.00
_cell_angle_gamma 130.70
_symmetry_space_group_name_H-M 'P 1'
_symmetry_Int_Tables_number 1
_symmetry_space_group_name_Hall 'P 1'
loop_
_atom_site_label
_atom_site_fract_x
_atom_site_fract_y
_atom_site_fract_z
Pd1 0.739 0.000 0.285
Pd2 0.201 0.703 0.500
Pd3 0.299 0.797 0.000
Pd4 0.739 0.000 0.715
Pd5 0.261 0.000 0.715
Pd6 0.799 0.297 0.500
Pd7 0.761 0.500 0.215
Pd8 0.261 0.000 0.285
Pd9 0.239 0.500 0.215
Pd10 0.239 0.500 0.785
Pd11 0.761 0.500 0.785
Pd12 0.701 0.203 0.000
Na1 0.279 0.278 0.500
Na2 0.221 0.222 0.000
Na3 0.779 0.778 0.000
Na4 0.721 0.722 0.500
N1 0.000 0.500 0.000
N2 0.500 0.000 0.500
```

Calculated values
Total magnetic moment, Bohr magnetons per cell: 0.00
Raw formation energy, eV/f.u.: 1.4
Uncorrected energy, eV for the cell shown: -81.49

[9]
Material: NaPdS2N
Method: DFT, PBE
State: optimized geometry

Geometry as CIF:
```
data_NaPdS2N
_cell_length_a 4.819
_cell_length_b 4.819
_cell_length_c 4.035
_cell_angle_alpha 90.00
_cell_angle_beta 90.00
_cell_angle_gamma 90.00
_symmetry_space_group_name_H-M 'P 1'
_symmetry_Int_Tables_number 1
_symmetry_space_group_name_Hall 'P 1'
loop_
_atom_site_label
_atom_site_fract_x
_atom_site_fract_y
_atom_site_fract_z
Na1 0.000 0.000 0.000
N1 0.000 0.000 0.500
Pd1 0.500 0.500 0.500
S1 0.000 0.500 0.000
S2 0.500 0.000 0.000
```

Calculated values
ΔE to the lowest computed polymorph, meV/atom: 1309
Total magnetic moment, Bohr magnetons per cell: 0.00
Raw formation energy, eV/f.u.: 8.9
Uncorrected energy, eV for the cell shown: -14.19

[10]
Material: NaPdS2N
Method: DFT, PBE
State: optimized geometry

Geometry as CIF:
```
data_NaPdS2N
_cell_length_a 5.032
_cell_length_b 5.032
_cell_length_c 3.729
_cell_angle_alpha 90.00
_cell_angle_beta 90.00
_cell_angle_gamma 90.00
_symmetry_space_group_name_H-M 'P 1'
_symmetry_Int_Tables_number 1
_symmetry_space_group_name_Hall 'P 1'
loop_
_atom_site_label
_atom_site_fract_x
_atom_site_fract_y
_atom_site_fract_z
Pd1 0.000 0.000 0.000
N1 0.000 0.000 0.500
S1 0.000 0.500 0.000
S2 0.500 0.000 0.000
Na1 0.500 0.500 0.500
```

Calculated values
ΔE to the lowest computed polymorph, meV/atom: 0
Total magnetic moment, Bohr magnetons per cell: 1.16
Raw formation energy, eV/f.u.: 2.4
Uncorrected energy, eV for the cell shown: -20.74

[11]
Material: Na2SnPdN
Method: DFT, PBE
State: optimized geometry

Geometry as CIF:
```
data_Na2SnPdN
_cell_length_a 4.533
_cell_length_b 4.466
_cell_length_c 4.533
_cell_angle_alpha 90.00
_cell_angle_beta 90.00
_cell_angle_gamma 90.00
_symmetry_space_group_name_H-M 'P 1'
_symmetry_Int_Tables_number 1
_symmetry_space_group_name_Hall 'P 1'
loop_
_atom_site_label
_atom_site_fract_x
_atom_site_fract_y
_atom_site_fract_z
Na1 0.500 0.000 0.000
Na2 0.000 0.000 0.500
Pd1 0.500 0.500 0.500
Sn1 0.000 0.500 0.000
N1 0.000 0.000 0.000
```

Calculated values
Total magnetic moment, Bohr magnetons per cell: 0.00
Raw formation energy, eV/f.u.: 0.8
Uncorrected energy, eV for the cell shown: -19.32

[12]
Material: NaSr2PdN
Method: DFT, PBE
State: optimized geometry

Geometry as CIF:
```
data_NaSr2PdN
_cell_length_a 5.419
_cell_length_b 5.419
_cell_length_c 4.159
_cell_angle_alpha 90.00
_cell_angle_beta 90.00
_cell_angle_gamma 90.00
_symmetry_space_group_name_H-M 'P 1'
_symmetry_Int_Tables_number 1
_symmetry_space_group_name_Hall 'P 1'
loop_
_atom_site_label
_atom_site_fract_x
_atom_site_fract_y
_atom_site_fract_z
Sr1 0.500 0.000 0.000
Sr2 0.000 0.500 0.000
N1 0.000 0.000 0.000
Pd1 0.000 0.000 0.500
Na1 0.500 0.500 0.500
```

Calculated values
Total magnetic moment, Bohr magnetons per cell: 0.00
Raw formation energy, eV/f.u.: -1.1
Uncorrected energy, eV for the cell shown: -19.27